Computed, not measured: a geometry-optimized ZrNbCoRu structure at the PBE-GGA level of DFT.

Results
As for the total energy: -9.006 eV per atom.

Unit cell a=4.5180 b=4.5180 c=4.5180 alpha=60.00 beta=60.00 gamma=60.00
Closest atoms and distances in Å follow each position.
Fractional coordinates of all 4 atoms:
Ru 0.7500 0.7500 0.7500  4 Nb 2.77, 4 Zr 2.77
Nb 0.0000 0.0000 0.0000  4 Co 2.77, 4 Ru 2.77
Co 0.2500 0.2500 0.2500  4 Zr 2.77, 4 Nb 2.77
Zr 0.5000 0.5000 0.5000  4 Ru 2.77, 4 Co 2.77